[1]
CsSrLaF6 | GGA-PBE | optimized geometry

- E_form (uncorrected) (eV per atom) = -3.701

abc: 8.9422 8.6277 8.8952
angles: 119.01 120.17 90.00
Site moments in Bohr magnetons follow the coordinates.
Atoms (fractional coordinates):
1 Cs 0.8005 0.5505 0.6010  0.00
2 Cs 0.1995 0.4495 0.3990  0.00
3 Sr 0.5000 0.5000 0.0000  0.00
4 Sr 0.5000 0.0000 0.0000  0.00
5 La 0.5000 0.0000 0.5000  0.00
6 La 0.0000 0.0000 0.5000  0.00
7 F 0.4217 0.6717 0.8434  0.07
8 F 0.8116 0.0616 0.6231  0.00
9 F 0.8221 0.0833 0.2704  0.01
10 F 0.4483 0.6871 0.2704  0.01
11 F 0.4483 0.0833 0.2704  0.01
12 F 0.8221 0.6871 0.2704  0.01
13 F 0.5783 0.3283 0.1566  0.07
14 F 0.1884 0.9384 0.3769  0.00
15 F 0.1779 0.9167 0.7296  0.01
16 F 0.5517 0.3129 0.7296  0.01
17 F 0.5517 0.9167 0.7296  0.01
18 F 0.1779 0.3129 0.7296  0.01


[2]
Sm5Dy2Sc4 | GGA-PBE | optimized geometry

- relative energy among the computed polymorphs (meV/atom) = 0

abc: 3.5380 8.7162 10.9241
angles: 84.98 90.00 90.00
Atoms (fractional coordinates):
1 Sm 0.0000 0.4546 0.3292
2 Sm 0.0000 0.8481 0.1368
3 Sm 0.0000 0.5000 0.0000
4 Sm 0.0000 0.1519 0.8632
5 Sm 0.0000 0.5454 0.6708
6 Dy 0.0000 0.9263 0.6366
7 Dy 0.0000 0.0737 0.3634
8 Sc 0.5000 0.2490 0.5693
9 Sc 0.5000 0.8019 0.8715
10 Sc 0.5000 0.7510 0.4307
11 Sc 0.5000 0.1981 0.1285


[3]
CaTa2Bi2 | GGA-PBE | optimized geometry

- relative energy among the computed polymorphs (meV/atom) = 45

abc: 8.3822 8.3822 3.5811
angles: 90.00 90.00 90.00
Atoms (fractional coordinates):
1 Ca 0.0000 0.0000 0.0000
2 Ca 0.5000 0.5000 0.0000
3 Bi 0.1739 0.6739 0.5000
4 Bi 0.6739 0.8261 0.5000
5 Bi 0.8261 0.3261 0.5000
6 Bi 0.3261 0.1739 0.5000
7 Ta 0.3899 0.8899 0.0000
8 Ta 0.8899 0.6101 0.0000
9 Ta 0.6101 0.1101 0.0000
10 Ta 0.1101 0.3899 0.0000


[4]
KAg2Se | GGA-PBE | optimized geometry

- E_form (uncorrected) (eV per atom) = -0.011

abc: 6.7366 5.3771 2.9548
angles: 90.19 77.25 113.57
Atoms (fractional coordinates):
1 Ag 0.0000 0.0000 0.0000
2 Ag 0.0000 0.5000 0.5000
3 K 0.5000 0.5000 0.0000
4 Se 0.5000 0.0000 0.5000


[5]
La2TlP | GGA-PBE | optimized geometry

- relative energy among the computed polymorphs (meV/atom) = 223

abc: 6.2093 6.2093 4.6764
angles: 83.82 83.82 40.59
Atoms (fractional coordinates):
1 La 0.9972 0.9972 0.8475
2 La 0.2659 0.2659 0.3984
3 P 0.5201 0.5201 0.3341
4 Tl 0.7168 0.7168 0.9200


[6]
DyZrZnAu | GGA-PBE | optimized geometry

- final energy (eV/atom) = -4.82

abc: 4.9440 4.9440 4.9440
angles: 60.00 60.00 60.00
Site moments in Bohr magnetons follow the coordinates.
Atoms (fractional coordinates):
1 Zn 0.0000 0.0000 0.0000  0.00
2 Au 0.5000 0.5000 0.5000  0.04
3 Zr 0.7500 0.7500 0.7500  0.44
4 Dy 0.2500 0.2500 0.2500  0.20


[7]
P2RuNO | GGA-PBE | optimized geometry

- relative energy among the computed polymorphs (meV/atom) = 1536
- E_form (uncorrected) (eV per atom) = 0.939

abc: 3.8531 3.8531 3.7349
angles: 90.00 90.00 90.00
Site moments in Bohr magnetons follow the coordinates.
Atoms (fractional coordinates):
1 Ru 0.5000 0.5000 0.5000  0.33
2 N 0.0000 0.0000 0.0000  -0.01
3 O 0.0000 0.0000 0.5000  0.07
4 P 0.0000 0.5000 0.0000  0.00
5 P 0.5000 0.0000 0.0000  0.00


[8]
Pm2BeSi4Au3 | GGA-PBE | optimized geometry

- E_form (uncorrected) (eV per atom) = -0.497

abc: 4.1656 4.1656 10.6870
angles: 90.00 90.00 90.00
Atoms (fractional coordinates):
1 Pm 0.5000 0.0000 0.2630
2 Pm 0.0000 0.5000 0.7370
3 Be 0.5000 0.5000 0.5000
4 Si 0.5000 0.5000 0.0000
5 Si 0.0000 0.0000 0.0000
6 Si 0.5000 0.0000 0.6287
7 Si 0.0000 0.5000 0.3713
8 Au 0.0000 0.0000 0.5000
9 Au 0.5000 0.0000 0.8597
10 Au 0.0000 0.5000 0.1403


[9]
TaWIN2 | GGA-PBE | optimized geometry

- relative energy among the computed polymorphs (meV/atom) = 16
- E_form (uncorrected) (eV per atom) = 1.321

abc: 4.0611 4.0611 5.8796
angles: 90.00 90.00 90.00
Site moments in Bohr magnetons follow the coordinates.
Atoms (fractional coordinates):
1 I 0.0000 0.0000 0.5000  0.03
2 N 0.0000 0.5000 0.0000  -0.27
3 N 0.5000 0.0000 0.0000  -0.27
4 W 0.5000 0.5000 0.5000  3.02
5 Ta 0.0000 0.0000 0.0000  0.16


[10]
Nd6PdRh2Br3 | GGA-PBE | optimized geometry

- E_form (uncorrected) (eV per atom) = -1.057

abc: 7.1964 7.1964 8.1875
angles: 98.41 98.41 119.99
Atoms (fractional coordinates):
1 Nd 0.9343 0.5920 0.8027
2 Nd 0.7231 0.7231 0.1971
3 Nd 0.0657 0.4080 0.1973
4 Nd 0.5920 0.9343 0.8027
5 Nd 0.2769 0.2769 0.8029
6 Nd 0.4080 0.0657 0.1973
7 Pd 0.0000 0.0000 0.0000
8 Rh 0.3333 0.6667 0.0000
9 Rh 0.6667 0.3333 0.0000
10 Br 0.1678 0.8322 0.5000
11 Br 0.8322 0.1678 0.5000
12 Br 0.5000 0.5000 0.5000


[11]
Rb3Pr2ThTe6 | GGA-PBE | optimized geometry

- E_form (uncorrected) (eV per atom) = -1.333

abc: 7.9991 7.9991 9.0487
angles: 98.47 98.47 120.00
Atoms (fractional coordinates):
1 Rb 0.1687 0.8313 0.5000
2 Rb 0.8313 0.1687 0.5000
3 Rb 0.5000 0.5000 0.5000
4 Pr 0.3336 0.6664 0.0000
5 Pr 0.6664 0.3336 0.0000
6 Th 0.0000 0.0000 0.0000
7 Te 0.9308 0.6038 0.7920
8 Te 0.7429 0.7429 0.2086
9 Te 0.0692 0.3962 0.2080
10 Te 0.6038 0.9308 0.7920
11 Te 0.2571 0.2571 0.7914
12 Te 0.3962 0.0692 0.2080


[12]
Ba2CdS3 | GGA-PBE | optimized geometry

- E_form (uncorrected) (eV per atom) = -1.609

abc: 4.3924 9.0578 17.4865
angles: 90.00 90.00 90.00
Atoms (fractional coordinates):
1 Ba 0.2500 0.7654 0.9581
2 Ba 0.7500 0.7346 0.4581
3 Ba 0.2500 0.2654 0.5419
4 Ba 0.7500 0.2346 0.0419
5 Ba 0.2500 0.4194 0.2842
6 Ba 0.7500 0.5806 0.7158
7 Ba 0.2500 0.9194 0.2158
8 Ba 0.7500 0.0806 0.7842
9 Cd 0.7500 0.1212 0.3688
10 Cd 0.7500 0.6212 0.1312
11 Cd 0.2500 0.8788 0.6312
12 Cd 0.2500 0.3788 0.8688
13 S 0.2500 0.9834 0.4036
14 S 0.7500 0.0166 0.5964
15 S 0.2500 0.4834 0.0964
16 S 0.7500 0.5166 0.9036
17 S 0.2500 0.1215 0.9278
18 S 0.7500 0.8785 0.0722
19 S 0.2500 0.6215 0.5722
20 S 0.7500 0.1812 0.2250
21 S 0.2500 0.3188 0.7250
22 S 0.7500 0.6812 0.2750
23 S 0.2500 0.8188 0.7750
24 S 0.7500 0.3785 0.4278


[13]
TbPm5Pr2Dy | GGA-PBE | optimized geometry

- final energy (eV/atom) = -4.46

abc: 8.7072 8.7072 10.2511
angles: 115.13 115.13 90.00
Atoms (fractional coordinates):
1 Tb 0.2500 0.2500 0.5000
2 Tb 0.7500 0.7500 0.5000
3 Pm 0.9281 0.4281 0.2847
4 Pm 0.6434 0.1434 0.7153
5 Pm 0.0719 0.5719 0.7153
6 Pm 0.1434 0.0719 0.7153
7 Pm 0.5719 0.6434 0.7153
8 Pm 0.8566 0.9281 0.2847
9 Pm 0.4281 0.3566 0.2847
10 Pm 0.3566 0.8566 0.2847
11 Pm 0.5000 0.5000 0.0000
12 Pm 0.0000 0.0000 0.0000
13 Pr 0.1205 0.3795 0.0000
14 Pr 0.6205 0.1205 0.0000
15 Pr 0.3795 0.8795 0.0000
16 Pr 0.8795 0.6205 0.0000
17 Dy 0.2500 0.7500 0.5000
18 Dy 0.7500 0.2500 0.5000


[14]
YOsPb | GGA-PBE | optimized geometry

- final energy (eV/atom) = -6.74

abc: 3.4281 3.4281 6.9036
angles: 90.00 90.00 120.00
Atoms (fractional coordinates):
1 Os 0.0000 0.0000 0.9977
2 Pb 0.6667 0.3333 0.3005
3 Y 0.3333 0.6667 0.7018


[15]
AcTb12Pr7 | GGA-PBE | optimized geometry

- final energy (eV/atom) = -4.07

abc: 9.9344 9.9344 9.9344
angles: 109.47 109.47 109.47
Atoms (fractional coordinates):
1 Ac 0.0000 0.0000 0.0000
2 Tb 0.4921 0.7459 0.7461
3 Tb 0.9998 0.7459 0.2539
4 Tb 0.5079 0.2541 0.2539
5 Tb 0.0002 0.2541 0.7461
6 Tb 0.7461 0.0002 0.2541
7 Tb 0.7461 0.4921 0.7459
8 Tb 0.2539 0.9998 0.7459
9 Tb 0.2539 0.5079 0.2541
10 Tb 0.7459 0.7461 0.4921
11 Tb 0.2541 0.2539 0.5079
12 Tb 0.7459 0.2539 0.9998
13 Tb 0.2541 0.7461 0.0002
14 Pr 0.5000 0.5000 0.0000
15 Pr 0.0000 0.5000 0.5000
16 Pr 0.5000 0.0000 0.5000
17 Pr 0.5000 0.5000 0.5000
18 Pr 0.0000 0.0000 0.5000
19 Pr 0.5000 0.0000 0.0000
20 Pr 0.0000 0.5000 0.0000


[16]
Pr4SiRh | GGA-PBE | optimized geometry

- E_form (uncorrected) (eV per atom) = -0.448

abc: 6.2932 7.9846 8.3275
angles: 113.53 106.02 102.26
Atoms (fractional coordinates):
1 Pr 0.0298 0.2289 0.8730
2 Pr 0.7771 0.6894 0.6259
3 Pr 0.3432 0.6441 0.8730
4 Pr 0.3487 0.9364 0.6259
5 Pr 0.6513 0.0636 0.3741
6 Pr 0.6568 0.3559 0.1270
7 Pr 0.2229 0.3106 0.3741
8 Pr 0.9702 0.7711 0.1270
9 Si 0.3772 0.6272 0.2543
10 Si 0.6228 0.3728 0.7457
11 Rh 0.2490 0.9990 0.9980
12 Rh 0.7510 0.0010 0.0020


[17]
SrCeIrI | GGA-PBE | optimized geometry

- E_form (uncorrected) (eV per atom) = -0.860

abc: 4.2115 4.2116 8.6760
angles: 90.01 104.04 120.00
Site moments in Bohr magnetons follow the coordinates.
Atoms (fractional coordinates):
1 Sr 0.5027 0.1492 0.6672  0.01
2 Ce 0.0918 0.9439 0.0509  0.57
3 Ir 0.3247 0.5602 0.9003  -0.06
4 I 0.9588 0.3775 0.3513  0.00


[18]
MoRhSCl2 | GGA-PBE | optimized geometry

- relative energy among the computed polymorphs (meV/atom) = 535
- E_form (uncorrected) (eV per atom) = 1.019

abc: 5.1805 4.3020 5.1805
angles: 90.00 90.00 90.00
Site moments in Bohr magnetons follow the coordinates.
Atoms (fractional coordinates):
1 Mo 0.5000 0.5000 0.5000  3.85
2 Rh 0.0000 0.5000 0.0000  -0.28
3 S 0.0000 0.0000 0.0000  0.01
4 Cl 0.0000 0.0000 0.5000  -0.01
5 Cl 0.5000 0.0000 0.0000  0.03


[19]
CdGa6Pb | GGA-PBE | optimized geometry

- final energy (eV/atom) = -2.78

abc: 4.4427 5.3466 7.2984
angles: 90.00 90.00 90.00
Atoms (fractional coordinates):
1 Cd 0.5000 0.3388 0.5000
2 Ga 0.5000 0.8438 0.2839
3 Ga 0.0000 0.1903 0.7385
4 Ga 0.0000 0.1903 0.2615
5 Ga 0.5000 0.8438 0.7161
6 Ga 0.0000 0.7046 0.5000
7 Ga 0.5000 0.2259 0.0000
8 Pb 0.0000 0.6626 0.0000


[20]
NaNdTlGe | GGA-PBE | optimized geometry

- final energy (eV/atom) = -3.52

abc: 5.2774 5.2774 5.2774
angles: 60.00 60.00 60.00
Atoms (fractional coordinates):
1 Na 0.2500 0.2500 0.2500
2 Tl 0.0000 0.0000 0.0000
3 Nd 0.7500 0.7500 0.7500
4 Ge 0.5000 0.5000 0.5000